Here is a relaxed structure of Tb4Nd10Sc from the Alexandria database. Energies are from PBE.

```
15
Lattice="-4.947 4.947 5.257 4.947 -4.947 5.257 4.947 4.947 -5.257" Properties=species:S:1:pos:R:3 pbc="T T T"
Tb 6.699 0.562 0.000
Tb 0.562 3.195 0.000
Tb 4.385 1.752 5.257
Tb -1.752 4.385 5.257
Nd 3.817 2.872 -1.691
Nd 2.075 -1.130 3.565
Nd 4.947 0.000 2.628
Nd 3.817 2.872 1.691
Nd 2.872 6.077 -1.691
Nd 2.075 -1.130 6.948
Nd 1.130 2.075 3.565
Nd 0.000 4.947 2.628
Nd 2.872 6.077 1.691
Nd 1.130 2.075 6.948
Sc 0.000 0.000 0.000
```

Total energy: -67.567 eV for the cell shown
V: 34.3 Å³/atom
Space-group type: I4/m, No. 87
Formation enthalpy at 0 K: 0.3310 eV per atom